# 1
## Ti2Be2Si (GGA-PBE)

Data for a relaxed structure of Ti2Be2Si.

Cell and atoms, written as extended XYZ:
```
10
Lattice="5.829 0.000 0.000 0.000 5.829 0.000 0.000 0.000 3.670" Properties=species:S:1:pos:R:3 pbc="T T T"
Ti 0.997 1.917 0.000
Ti 1.917 4.832 0.000
Ti 3.911 0.997 0.000
Ti 4.832 3.911 0.000
Be 0.728 3.642 1.835
Be 2.187 0.728 1.835
Be 3.642 5.101 1.835
Be 5.101 2.187 1.835
Si 0.000 0.000 1.835
Si 2.914 2.914 1.835
```

Formation energy from raw total energies in meV per atom: -403
Final energy in eV per formula unit: -30.68
Total magnetic moment in μB per atom: 0.0000
DOS at the Fermi energy in states/eV/cell: 9.7

---

# 2
## Ti5Be2Si (GGA-PBE)

Data for a relaxed structure of Ti5Be2Si.

Cell and atoms, written as extended XYZ:
```
16
Lattice="-3.261 3.261 5.514 3.261 -3.261 5.514 3.261 3.261 -5.514" Properties=species:S:1:pos:R:3 pbc="T T T"
Ti 0.000 0.000 0.000
Ti 4.341 1.079 -1.636
Ti 1.079 2.182 -1.636
Ti 4.341 1.079 1.636
Ti 1.079 2.182 1.636
Ti 0.000 0.000 5.514
Ti 2.182 1.079 3.878
Ti -1.079 2.182 3.878
Ti 2.182 1.079 7.151
Ti -1.079 2.182 7.151
Be 2.465 0.797 0.000
Be 2.465 -0.797 5.514
Be 0.797 4.058 0.000
Be 0.797 2.465 5.514
Si 0.000 0.000 2.757
Si 0.000 0.000 8.272
```

Formation energy from raw total energies in meV per atom: -263
Final energy in eV per formula unit: -54.46
Total magnetic moment in μB per atom: 0.4952
DOS at the Fermi energy in states/eV/cell: 13.7

---

Question: Number 1 is which compound?
Answer: Ti2Be2Si

---

Question: formation energy from raw total energies of number 1 (Ti2Be2Si)?
Answer: -403 meV per atom

---

Question: DOS at the Fermi energy of number 1 (Ti2Be2Si)?
Answer: 9.7 states/eV/cell

---

Question: What is the formation energy from raw total energies in the second record?
Answer: -263 meV per atom